VASP calculation (SCAN) on a crystal of MgPRh2 relaxed with PBEsol.

POSCAR file:
```
MgPRh2
1.0
2.854 0.000 0.000
0.000 2.854 0.000
0.000 0.000 6.819
Mg P Rh
1 1 2
direct
0.000 0.000 0.000
0.000 0.000 0.500
0.500 0.500 0.296
0.500 0.500 0.704
```

Properties
The value obtained for the calculated volume is 13.889 Å³/atom. As for the raw total energy: -85.307 eV per cell.